The following is a DFT calculation (GGA-PBE) of In3HRh after structural relaxation.

abc: 4.453 4.453 4.453
angles: 90.00 90.00 90.00
Space group Pm-3m (No. 221)
Asymmetric unit:
In1 0.000 0.000 0.500 (multiplicity 3)
H1 0.000 0.000 0.000 (multiplicity 1)
Rh1 0.500 0.500 0.500 (multiplicity 1)

Summary:
Mass density: 8429 kg/m³
E_tot: -3.49 eV per atom
Total moment: 0.0 μB per formula unit
Density of states at the Fermi level: 0.630 states/eV per atom

---

The following is a DFT calculation (GGA-PBE) of BaLi2CaPd after structural relaxation.

abc: 5.302 5.302 5.893
angles: 90.00 90.00 90.00
Space group P4/mmm (No. 123)
Asymmetric unit:
Ba1 0.000 0.000 0.000 (multiplicity 1)
Li1 0.000 0.500 0.500 (multiplicity 2)
Ca1 0.500 0.500 0.000 (multiplicity 1)
Pd1 0.000 0.000 0.500 (multiplicity 1)

Summary:
Mass density: 2985 kg/m³
Calculated formation energy: 0.005 eV per atom
Total moment: 0.0 μB per formula unit
Density of states at the Fermi level: 0.768 states/eV per atom

---

The following is a DFT calculation (GGA-PBE) of UMoC2 after structural relaxation.

abc: 2.911 2.983 11.463
angles: 90.00 90.00 90.00
Space group Imm2 (No. 44)
Asymmetric unit:
U1 0.000 0.000 0.000 (multiplicity 2)
Mo1 0.000 0.500 0.247 (multiplicity 2)
C1 0.000 0.000 0.606 (multiplicity 2)
C2 0.000 0.500 0.823 (multiplicity 2)

Summary:
Mass density: 11944 kg/m³
Calculated formation energy: 0.249 eV per atom
Total moment: 1.0 μB per formula unit
Density of states at the Fermi level: 1.223 states/eV per atom

---

The following is a DFT calculation (GGA-PBE) of BaNb2F after structural relaxation.

abc: 6.282 6.282 10.798
angles: 90.00 90.00 90.00
Space group I4_1/amd (No. 141, origin choice 2)
Asymmetric unit:
Ba1 0.000 0.250 0.375 (multiplicity 4)
Nb1 0.000 0.000 0.000 (multiplicity 8)
F1 0.000 0.250 0.875 (multiplicity 4)

Summary:
Uncorrected formation energy: 0.30 eV per atom
Mass density: 5333 kg/m³
Total moment: 0.0 μB per formula unit
Density of states at the Fermi level: 1.382 states/eV per atom